1.
{
  "formula": "NiSn2Au",
  "functional": "GGA-PBE",
  "state": "relaxed",
  "cell": [[-0.286, 3.212, -2.649], [0.854, -3.822, -1.440], [-5.255, -0.953, -0.588]],
  "species": ["Ni", "Sn", "Sn", "Au"],
  "frac_coords": [[0.000, 0.000, 0.000], [0.333, 0.667, 0.210], [0.667, 0.333, 0.790], [0.000, 0.000, 0.500]],
  "m_tot_mub_per_cell": 0.00,
  "space_group": "No. 164",
  "dos_ef_per_ev_cell": 1.922,
  "e_above_lowest_polymorph_mev_per_atom": 0.0
}

---

2.
{
  "formula": "KSi2Sb",
  "functional": "GGA-PBE",
  "state": "relaxed",
  "cell": [[-2.248, 3.823, -2.440], [-2.002, -2.209, -1.618], [-4.752, 0.164, 4.634]],
  "species": ["Si", "K", "Si", "Sb"],
  "frac_coords": [[0.000, 0.987, 0.886], [0.500, 0.250, 0.250], [0.000, 0.513, 0.614], [0.500, 0.750, 0.750]],
  "m_tot_mub_per_cell": 0.00,
  "space_group": "No. 10",
  "dos_ef_per_ev_cell": 1.367,
  "dft_energy_ev_per_cell": -15.11
}

---

Number 1 is which compound?
NiSn2Au

---

What is the formula in the second record?
KSi2Sb